1.
DFT (PBE) results for a relaxed K2TlPb3 crystal.

Summary:
As for the symmetry: No. 8. The raw total energy comes out at -16.45 eV per cell.

Unit cell a=5.4299 b=6.9514 c=6.8980 alpha=75.33 beta=66.82 gamma=67.01
With the nearest neighbours (Å) after each atom.
Fractional coordinates of all 6 atoms:
Pb 0.8383 0.5686 0.7547  3 Pb 3.17-3.24, 1 Tl 3.45
Pb 0.1614 0.8096 0.8675  3 Pb 3.16-3.24, 1 Tl 3.22
Tl 0.1628 0.4283 0.2460  4 Pb 3.21-3.45
K 0.4472 0.8062 0.2993  6 Pb 3.61-3.93, 3 Tl 3.68-3.96
Pb 0.8350 0.1973 0.1327  2 Pb 3.16-3.17, 2 Tl 3.21
K 0.5551 0.1899 0.6998  8 Pb 3.59-3.95, 1 Tl 3.95

2.
DFT (PBE) results for a relaxed KTlPb crystal.

Summary:
As for the symmetry: No. 194. The value obtained for the energy above the most stable polymorph in this dataset is 518.3 meV per atom.

Unit cell a=6.1982 b=6.1982 c=11.3974 alpha=90.00 beta=90.00 gamma=120.00
With the nearest neighbours (Å) after each atom.
Fractional coordinates of all 6 atoms:
Pb 0.0000 0.0000 0.0000  2 Tl 2.85
Tl 0.0000 0.0000 0.7500  2 Pb 2.85
Pb 0.0000 0.0000 0.5000  2 Tl 2.85
K 0.3333 0.6667 0.2500  3 Tl 3.58
K 0.6667 0.3333 0.7500  3 Tl 3.58
Tl 0.0000 0.0000 0.2500  2 Pb 2.85

3.
DFT (PBE) results for a relaxed KTlPb crystal.

Summary:
As for the symmetry: No. 156. The value obtained for the energy above the most stable polymorph in this dataset is 115.8 meV per atom.

Unit cell a=3.8455 b=3.8455 c=8.2406 alpha=90.00 beta=90.00 gamma=120.00
With the nearest neighbours (Å) after each atom.
Fractional coordinates of all 3 atoms:
K 0.0000 0.0000 0.9970  3 Tl 3.64, 3 Pb 3.70, 6 K 3.85
Pb 0.3333 0.6667 0.3555  3 Tl 3.27
Tl 0.6667 0.3333 0.6474  3 Pb 3.27, 3 K 3.64

Per-record density, kg/m3: 6862, 3947, 7091